No. 1
Material: CaCd2Mo
Method: DFT, PBE
State: optimized geometry

The structure in extended XYZ format:
```
4
Lattice="7.115 0.001 0.003 -2.900 4.464 -0.002 1.314 0.857 2.630" Properties=species:S:1:pos:R:3 pbc="T T T"
Cd 4.215 0.429 1.317
Cd 0.000 0.000 0.000
Ca 2.107 2.233 0.001
Mo -0.793 2.661 1.314
```

Computed properties:
Energy of formation ... 0.337 eV per atom
Magnetic moment ... 0.00 μB/cell

No. 2
Material: Hf2ZrTiCl
Method: DFT, PBE
State: optimized geometry

The structure in extended XYZ format:
```
5
Lattice="4.729 0.000 0.000 0.000 4.775 0.000 0.000 0.000 4.729" Properties=species:S:1:pos:R:3 pbc="T T T"
Cl 0.000 0.000 0.000
Ti 2.364 2.388 2.364
Hf 0.000 0.000 2.364
Hf 2.364 0.000 0.000
Zr 0.000 2.388 0.000
```

Computed properties:
VASP energy ... -37.66 eV for the cell shown
Magnetic moment ... 0.00 μB/cell

No. 3
Material: Pr2Tc3C4
Method: DFT, PBE
State: optimized geometry

The structure in extended XYZ format:
```
9
Lattice="5.274 0.172 0.000 -2.299 4.750 0.000 -1.488 -2.461 5.502" Properties=species:S:1:pos:R:3 pbc="T T T"
C 2.450 -1.481 4.108
C -2.450 1.481 4.108
C -0.963 3.942 1.394
C 3.938 0.980 1.394
Pr 1.488 2.461 1.843
Pr 0.000 0.000 3.659
Tc 0.000 0.000 0.000
Tc 2.637 0.086 0.000
Tc -1.149 2.375 0.000
```

Computed properties:
Energy of formation ... 0.503 eV per atom
Magnetic moment ... 0.00 μB/cell